i | {"formula": "NpTe2H", "functional": "PBE", "state": "optimized geometry", "spacegroup": "R-3m (166)", "magnetic_moment_mub_per_fu": 4.0, "lattice_angstrom": [[-3.454, -2.561, 1.356], [0.701, -4.301, 1.159], [0.271, -0.233, 7.747]], "species": ["H", "Te", "Te", "Np"], "frac_coords": [[0.000, 0.000, 0.000], [0.089, 0.089, 0.732], [0.911, 0.911, 0.268], [0.500, 0.500, 0.500]]}

ii | {"formula": "NpTe2H", "functional": "PBE", "state": "optimized geometry", "spacegroup": "C2/m (12)", "magnetic_moment_mub_per_fu": 2.9, "lattice_angstrom": [[4.048, 0.001, -0.006], [0.000, 3.991, 0.000], [-2.029, -1.995, 5.134]], "species": ["Te", "Te", "Np", "H"], "frac_coords": [[0.843, 0.853, 0.687], [0.157, 0.165, 0.313], [0.500, 0.509, 0.000], [0.500, 0.009, 0.000]]}

Energy ordering: ii at the bottom, the next structure 0.057 eV/atom above.

i | {"formula": "HOs2O", "functional": "PBE", "state": "optimized geometry", "spacegroup": "I-42d (122)", "magnetic_moment_mub_per_fu": 0.7, "lattice_angstrom": [[-1.826, 0.598, -4.095], [0.473, -4.416, -0.855], [-4.443, -2.618, -0.899]], "species": ["Os", "Os", "Os", "Os", "H", "H", "O", "O"], "frac_coords": [[0.375, 0.447, 0.750], [0.197, 0.625, 0.250], [0.553, 0.125, 0.250], [0.875, 0.803, 0.750], [0.500, 0.500, 0.000], [0.250, 0.750, 0.500], [0.750, 0.250, 0.500], [0.000, 0.000, 0.000]]}

ii | {"formula": "HOs2O", "functional": "PBE", "state": "optimized geometry", "spacegroup": "Fm-3m (225)", "magnetic_moment_mub_per_fu": 0.0, "lattice_angstrom": [[1.448, 0.415, 3.550], [-1.921, -1.390, 3.041], [1.357, -3.069, 1.899]], "species": ["Os", "Os", "O", "H"], "frac_coords": [[0.750, 0.750, 0.750], [0.250, 0.250, 0.250], [0.500, 0.500, 0.500], [0.000, 0.000, 0.000]]}

Energy ordering: i at the bottom, the next structure 0.727 eV/atom above.

i | {"formula": "H2OsO", "functional": "PBE", "state": "optimized geometry", "spacegroup": "Fd-3m (227)", "magnetic_moment_mub_per_fu": 0.0, "lattice_angstrom": [[4.341, 0.000, 0.000], [0.000, 4.341, 0.000], [2.170, 2.170, 3.070]], "species": ["H", "H", "H", "H", "O", "O", "Os", "Os"], "frac_coords": [[0.375, 0.625, 0.750], [0.375, 0.125, 0.250], [0.875, 0.625, 0.750], [0.375, 0.625, 0.250], [0.250, 0.750, 0.500], [0.500, 0.500, 0.000], [0.000, 0.000, 0.000], [0.750, 0.250, 0.500]]}

ii | {"formula": "H2OsO", "functional": "PBE", "state": "optimized geometry", "spacegroup": "Fm-3m (225)", "magnetic_moment_mub_per_fu": 0.0, "lattice_angstrom": [[0.000, 2.394, 2.394], [2.394, 0.000, 2.394], [2.394, 2.394, 0.000]], "species": ["H", "H", "Os", "O"], "frac_coords": [[0.250, 0.250, 0.250], [0.750, 0.750, 0.750], [0.500, 0.500, 0.500], [0.000, 0.000, 0.000]]}

Energy ordering: i at the bottom, the next structure 0.487 eV/atom above.

i | {"formula": "PHOsO2", "functional": "PBE", "state": "optimized geometry", "spacegroup": "P4/mmm (123)", "magnetic_moment_mub_per_fu": 0.0, "lattice_angstrom": [[-0.810, -2.929, 2.096], [0.409, -2.209, -2.929], [4.949, -0.568, 1.118]], "species": ["O", "O", "H", "Os", "P"], "frac_coords": [[0.500, 0.000, 0.000], [0.000, 0.500, 0.000], [0.500, 0.500, 0.500], [0.000, 0.000, 0.000], [0.000, 0.000, 0.500]]}

ii | {"formula": "PHOsO2", "functional": "PBE", "state": "optimized geometry", "spacegroup": "P4/mmm (123)", "magnetic_moment_mub_per_fu": 0.0, "lattice_angstrom": [[-2.359, -2.391, -2.054], [3.119, -1.401, -1.952], [0.340, -2.091, 2.044]], "species": ["Os", "H", "O", "O", "P"], "frac_coords": [[0.500, 0.500, 0.500], [0.000, 0.000, 0.000], [0.000, 0.500, 0.000], [0.500, 0.000, 0.000], [0.000, 0.000, 0.500]]}

Energy ordering: i at the bottom, the next structure 0.840 eV/atom above.

i | {"formula": "P2HOsO", "functional": "PBE", "state": "optimized geometry", "spacegroup": "P4/mmm (123)", "magnetic_moment_mub_per_fu": 0.3, "lattice_angstrom": [[-2.787, 0.307, 2.067], [1.165, -2.632, 1.962], [2.090, 2.723, 2.413]], "species": ["Os", "H", "P", "P", "O"], "frac_coords": [[0.500, 0.500, 0.500], [0.000, 0.000, 0.000], [0.500, 0.000, 0.000], [0.000, 0.500, 0.000], [0.000, 0.000, 0.500]]}

ii | {"formula": "P2HOsO", "functional": "PBE", "state": "optimized geometry", "spacegroup": "P4/mmm (123)", "magnetic_moment_mub_per_fu": 0.0, "lattice_angstrom": [[4.693, 0.000, 0.000], [0.000, 4.693, 0.000], [0.000, 0.000, 3.697]], "species": ["Os", "O", "P", "P", "H"], "frac_coords": [[0.000, 0.000, 0.000], [0.000, 0.000, 0.500], [0.000, 0.500, 0.000], [0.500, 0.000, 0.000], [0.500, 0.500, 0.500]]}

Energy ordering: ii at the bottom, the next structure 0.207 eV/atom above.

i | {"formula": "P2H4PbO8", "functional": "PBE", "state": "optimized geometry", "spacegroup": "P-1 (2)", "magnetic_moment_mub_per_fu": 0.0, "lattice_angstrom": [[8.891, -1.427, 0.425], [-4.507, 9.374, -0.261], [0.874, -2.373, 5.288]], "species": ["O", "O", "O", "O", "O", "O", "O", "O", "O", "O", "O", "O", "O", "O", "O", "O", "H", "H", "H", "H", "H", "H", "H", "H", "P", "P", "P", "P", "Pb", "Pb"], "frac_coords": [[0.181, 0.474, 0.452], [0.648, 0.128, 0.800], [0.086, 0.660, 0.885], [0.914, 0.340, 0.115], [0.911, 0.833, 0.795], [0.819, 0.526, 0.548], [0.082, 0.898, 0.266], [0.692, 0.035, 0.100], [0.700, 0.642, 0.394], [0.352, 0.872, 0.200], [0.918, 0.102, 0.734], [0.402, 0.388, 0.171], [0.089, 0.167, 0.205], [0.598, 0.612, 0.829], [0.300, 0.358, 0.606], [0.308, 0.965, 0.900], [0.098, 0.437, 0.318], [0.515, 0.061, 0.847], [0.902, 0.563, 0.682], [0.150, 0.607, 0.750], [0.527, 0.491, 0.252], [0.850, 0.393, 0.250], [0.485, 0.939, 0.153], [0.473, 0.509, 0.748], [0.789, 0.142, 0.938], [0.757, 0.659, 0.633], [0.243, 0.341, 0.367], [0.211, 0.858, 0.062], [0.817, 0.916, 0.261], [0.183, 0.084, 0.739]]}

ii | {"formula": "P2H4PbO8", "functional": "PBE", "state": "optimized geometry", "spacegroup": "P-1 (2)", "magnetic_moment_mub_per_fu": 0.0, "lattice_angstrom": [[6.948, 0.346, 0.667], [-0.451, 9.243, -0.684], [-2.505, -3.522, 6.254]], "species": ["P", "P", "P", "P", "H", "H", "H", "H", "H", "H", "H", "H", "O", "O", "O", "O", "O", "O", "O", "O", "O", "O", "O", "O", "O", "O", "O", "O", "Pb", "Pb"], "frac_coords": [[0.693, 0.176, 0.204], [0.785, 0.617, 0.111], [0.307, 0.824, 0.796], [0.215, 0.383, 0.889], [0.501, 0.223, 0.185], [0.130, 0.591, 0.694], [0.870, 0.409, 0.306], [0.922, 0.379, 0.010], [0.533, 0.447, 0.810], [0.078, 0.621, 0.990], [0.499, 0.777, 0.815], [0.467, 0.553, 0.190], [0.644, 0.546, 0.871], [0.152, 0.546, 0.882], [0.736, 0.071, 0.996], [0.148, 0.657, 0.625], [0.852, 0.343, 0.375], [0.670, 0.698, 0.272], [0.299, 0.942, 0.697], [0.330, 0.302, 0.728], [0.264, 0.929, 0.004], [0.969, 0.730, 0.146], [0.031, 0.270, 0.854], [0.701, 0.058, 0.303], [0.598, 0.122, 0.470], [0.848, 0.454, 0.118], [0.356, 0.454, 0.129], [0.402, 0.878, 0.530], [0.767, 0.974, 0.635], [0.233, 0.026, 0.365]]}

Energy ordering: i at the bottom, the next structure 0.324 eV/atom above.

i | {"formula": "PHPdO2", "functional": "PBE", "state": "optimized geometry", "spacegroup": "P4/mmm (123)", "magnetic_moment_mub_per_fu": 0.1, "lattice_angstrom": [[-0.032, 0.837, -3.894], [3.704, -1.427, -0.337], [-1.107, -2.736, -0.579]], "species": ["H", "O", "O", "P", "Pd"], "frac_coords": [[0.000, 0.000, 0.000], [0.000, 0.500, 0.000], [0.500, 0.000, 0.000], [0.000, 0.000, 0.500], [0.500, 0.500, 0.500]]}

ii | {"formula": "PHPdO2", "functional": "PBE", "state": "optimized geometry", "spacegroup": "P4/mmm (123)", "magnetic_moment_mub_per_fu": 2.2, "lattice_angstrom": [[-0.702, -0.822, 3.653], [-3.266, -1.684, -1.007], [2.463, -4.459, -0.530]], "species": ["O", "O", "Pd", "H", "P"], "frac_coords": [[0.500, 0.000, 0.000], [0.000, 0.500, 0.000], [0.000, 0.000, 0.000], [0.500, 0.500, 0.500], [0.000, 0.000, 0.500]]}

Energy ordering: i at the bottom, the next structure 0.252 eV/atom above.

i | {"formula": "P2HPdO", "functional": "PBE", "state": "optimized geometry", "spacegroup": "P4/mmm (123)", "magnetic_moment_mub_per_fu": 0.0, "lattice_angstrom": [[-3.091, -1.005, -1.452], [1.485, 0.105, -3.233], [1.153, -4.117, 0.395]], "species": ["P", "P", "H", "Pd", "O"], "frac_coords": [[0.000, 0.500, 0.000], [0.500, 0.000, 0.000], [0.000, 0.000, 0.000], [0.500, 0.500, 0.500], [0.000, 0.000, 0.500]]}

ii | {"formula": "P2HPdO", "functional": "PBE", "state": "optimized geometry", "spacegroup": "P4/mmm (123)", "magnetic_moment_mub_per_fu": 0.0, "lattice_angstrom": [[-2.613, -2.220, -3.240], [-1.848, -2.739, 3.368], [-2.854, 2.581, 0.533]], "species": ["P", "P", "Pd", "H", "O"], "frac_coords": [[0.500, 0.000, 0.000], [0.000, 0.500, 0.000], [0.000, 0.000, 0.000], [0.500, 0.500, 0.500], [0.000, 0.000, 0.500]]}

Energy ordering: i at the bottom, the next structure 0.578 eV/atom above.